Record 1
A plane-wave DFT calculation with PBE was carried out for crystalline Gd3Er2Mg3 at its relaxed geometry.

a = 5.5462 Å, b = 6.8477 Å, c = 6.8477 Å
α = 62.51°, β = 90.00°, γ = 90.00°
Last column: nearest neighbours and their distance in Å.
Positions (direct):
Er (0.5000, 0.6628, 0.6628)  6 Mg 3.37-3.55, 6 Gd 3.42-3.49
Gd (0.0000, 0.8435, 0.8435)  4 Gd 3.39, 4 Mg 3.39-3.46, 4 Er 3.49-3.56
Er (0.0000, 0.3301, 0.3301)  6 Mg 3.39-3.43, 6 Gd 3.45-3.56
Mg (0.5000, 0.1642, 0.1642)  4 Er 3.39-3.55, 4 Gd 3.41-3.44, 4 Mg 3.47
Gd (0.5000, 0.6681, 0.1614)  4 Gd 3.39-3.60, 4 Mg 3.41-3.44, 4 Er 3.42-3.45
Gd (0.5000, 0.1614, 0.6681)  4 Gd 3.39-3.60, 4 Mg 3.41-3.44, 4 Er 3.42-3.45
Mg (0.0000, 0.8221, 0.3479)  4 Mg 3.37-3.74, 4 Er 3.37-3.43, 4 Gd 3.39-3.46
Mg (0.0000, 0.3479, 0.8221)  4 Mg 3.37-3.74, 4 Er 3.37-3.43, 4 Gd 3.39-3.46

Properties
The energy above the most stable polymorph in this dataset comes out at 41 meV/atom. The calculation puts the final energy at -3.42 eV per atom. The calculation puts the spin magnetization at 0.2 μB/cell.

Record 2
A plane-wave DFT calculation with PBE was carried out for crystalline NaSrMo at its relaxed geometry.

a = 5.4236 Å, b = 5.4236 Å, c = 5.4236 Å
α = 60.00°, β = 60.00°, γ = 60.00°
Last column: nearest neighbours and their distance in Å.
Positions (direct):
Sr (0.7500, 0.7500, 0.7500)  4 Mo 3.32
Mo (0.0000, 0.0000, 0.0000)  4 Na 3.32, 4 Sr 3.32
Na (0.2500, 0.2500, 0.2500)  4 Mo 3.32

Properties
The energy above the most stable polymorph in this dataset comes out at 0 meV/atom. The calculation puts the final energy at -3.20 eV per atom. The calculation puts the spin magnetization at 4.6 μB/cell.

Record 3
A plane-wave DFT calculation with PBE was carried out for crystalline GdLuFe2Si2 at its relaxed geometry.

a = 4.0205 Å, b = 4.0205 Å, c = 6.4192 Å
α = 90.00°, β = 90.00°, γ = 90.00°
Last column: nearest neighbours and their distance in Å.
Positions (direct):
Fe (0.5000, 0.0000, 0.9954)  4 Si 2.32-2.33
Gd (0.0000, 0.0000, 0.3227)  4 Fe 2.91, 6 Si 2.99-3.25
Lu (0.5000, 0.5000, 0.6912)  4 Fe 2.80, 5 Si 2.95-3.13
Fe (0.0000, 0.5000, 0.9954)  4 Si 2.32-2.33
Si (0.0000, 0.0000, 0.8165)  4 Fe 2.32
Si (0.5000, 0.5000, 0.1787)  4 Fe 2.33

Properties
The calculation puts the final energy at -6.75 eV per atom. The calculation puts the spin magnetization at 0.0 μB/cell.

Record 4
A plane-wave DFT calculation with PBE was carried out for crystalline SrErCuTe3 at its relaxed geometry.

a = 8.5010 Å, b = 4.2921 Å, c = 10.4105 Å
α = 90.00°, β = 105.74°, γ = 90.00°
Last column: nearest neighbours and their distance in Å.
Positions (direct):
Er (0.3110, 0.7500, 0.3385)  6 Te 3.00-3.08
Te (0.4264, 0.7500, 0.6452)  3 Er 3.07-3.08, 2 Sr 3.33
Sr (0.7688, 0.7500, 0.2081)  6 Te 3.31-3.33, 1 Cu 3.66
Er (0.6890, 0.2500, 0.6615)  6 Te 3.00-3.08
Sr (0.2312, 0.2500, 0.7919)  6 Te 3.31-3.33, 1 Cu 3.66
Te (0.0646, 0.2500, 0.3423)  1 Cu 2.68
Cu (0.0770, 0.2500, 0.0876)  4 Te 2.68-2.72, 2 Cu 2.89
Te (0.2480, 0.7500, 0.0404)  3 Cu 2.71-2.72, 1 Er 3.00
Cu (0.9230, 0.7500, 0.9124)  4 Te 2.68-2.72, 2 Cu 2.89
Te (0.9354, 0.7500, 0.6577)  1 Cu 2.68
Te (0.5736, 0.2500, 0.3548)  3 Er 3.07-3.08, 2 Sr 3.33
Te (0.7520, 0.2500, 0.9596)  3 Cu 2.71-2.72, 1 Er 3.00

Properties
The calculation puts the final energy at -4.41 eV per atom. The calculation puts the spin magnetization at 0.0 μB/cell.

Record 5
A plane-wave DFT calculation with PBE was carried out for crystalline BeNbAg at its relaxed geometry.

a = 4.0652 Å, b = 4.0652 Å, c = 4.0652 Å
α = 60.00°, β = 60.00°, γ = 60.00°
Last column: nearest neighbours and their distance in Å.
Positions (direct):
Ag (0.2500, 0.2500, 0.2500)  4 Be 2.49
Be (0.0000, 0.0000, 0.0000)  4 Nb 2.49, 4 Ag 2.49
Nb (0.7500, 0.7500, 0.7500)  4 Be 2.49

Properties
The energy above the most stable polymorph in this dataset comes out at 0 meV/atom. The calculation puts the final energy at -5.03 eV per atom. The calculation puts the spin magnetization at 0.0 μB/cell.

Record 6
A plane-wave DFT calculation with PBE was carried out for crystalline Li2InAg2GeAu2 at its relaxed geometry.

a = 4.6075 Å, b = 4.6075 Å, c = 6.5127 Å
α = 90.00°, β = 90.00°, γ = 90.00°
Last column: nearest neighbours and their distance in Å.
Positions (direct):
Ag (0.5000, 0.0000, 0.7628)  4 Li 2.77-2.87, 2 Ge 2.77, 2 In 2.87, 1 Au 3.10
Ag (0.0000, 0.5000, 0.2372)  2 Ge 2.77, 4 Li 2.77-2.87, 2 In 2.87, 1 Au 3.10
In (0.5000, 0.5000, 0.5000)  4 Au 2.87, 4 Ag 2.87
Li (0.5000, 0.5000, 0.0000)  4 Ag 2.77, 4 Au 2.78
Au (0.0000, 0.5000, 0.7616)  2 Ge 2.78, 4 Li 2.78-2.87, 2 In 2.87, 1 Ag 3.10
Ge (0.0000, 0.0000, 0.0000)  4 Ag 2.77, 4 Au 2.78
Au (0.5000, 0.0000, 0.2384)  2 Ge 2.78, 4 Li 2.78-2.87, 2 In 2.87, 1 Ag 3.10
Li (0.0000, 0.0000, 0.5000)  4 Au 2.87, 4 Ag 2.87

Properties
The calculation puts the final energy at -3.22 eV per atom.

Record 7
A plane-wave DFT calculation with PBE was carried out for crystalline HoTlAsSe3 at its relaxed geometry.

a = 7.4207 Å, b = 7.4207 Å, c = 11.4923 Å
α = 90.00°, β = 90.00°, γ = 148.98°
Last column: nearest neighbours and their distance in Å.
Positions (direct):
Se (0.3613, 0.6387, 0.9779)  1 As 2.66, 2 Ho 2.82
Se (0.6387, 0.3613, 0.4779)  1 As 2.66, 2 Ho 2.82
Tl (0.2884, 0.7116, 0.2500)  2 As 3.26, 4 Se 3.27-3.30
As (0.6077, 0.3923, 0.2500)  4 Se 2.66-2.80
Ho (0.0000, 0.0000, 0.5000)  6 Se 2.82-2.91
Se (0.9699, 0.0301, 0.2500)  2 As 2.80, 2 Ho 2.91
Se (0.3613, 0.6387, 0.5221)  1 As 2.66, 2 Ho 2.82
Ho (0.0000, 0.0000, 0.0000)  6 Se 2.82-2.91
Se (0.6387, 0.3613, 0.0221)  1 As 2.66, 2 Ho 2.82
Se (0.0301, 0.9699, 0.7500)  2 As 2.80, 2 Ho 2.91
Tl (0.7116, 0.2884, 0.7500)  2 As 3.26, 4 Se 3.27-3.30
As (0.3923, 0.6077, 0.7500)  4 Se 2.66-2.80

Properties
The calculation puts the final energy at -4.42 eV per atom. The calculation puts the spin magnetization at 0.0 μB/cell.

Record 8
A plane-wave DFT calculation with PBE was carried out for crystalline Na2Sr2Cd3 at its relaxed geometry.

a = 9.2209 Å, b = 9.2209 Å, c = 9.2209 Å
α = 34.46°, β = 34.46°, γ = 34.46°
Last column: nearest neighbours and their distance in Å.
Positions (direct):
Sr (0.0097, 0.0097, 0.0097)  7 Cd 3.21-3.42
Cd (0.8815, 0.8815, 0.8815)  4 Na 3.26-3.38, 4 Sr 3.33-3.45
Na (0.2464, 0.2464, 0.2464)  7 Cd 3.13-3.37
Cd (0.6251, 0.6251, 0.6251)  4 Na 3.28-3.37, 4 Sr 3.40-3.42
Sr (0.4942, 0.4942, 0.4942)  5 Cd 3.31-3.45
Na (0.7513, 0.7513, 0.7513)  5 Cd 3.28-3.42
Cd (0.3667, 0.3667, 0.3667)  4 Na 3.13-3.42, 4 Sr 3.21-3.31

Properties
The calculation puts the final energy at -1.37 eV per atom.

Record 9
A plane-wave DFT calculation with PBE was carried out for crystalline CoSi2Bi at its relaxed geometry.

a = 4.6167 Å, b = 4.6167 Å, c = 4.6167 Å
α = 60.00°, β = 60.00°, γ = 60.00°
Last column: nearest neighbours and their distance in Å.
Positions (direct):
Bi (0.5000, 0.5000, 0.5000)  4 Si 2.83, 4 Co 2.83
Co (0.2500, 0.2500, 0.2500)  4 Si 2.83, 4 Bi 2.83
Si (0.7500, 0.7500, 0.7500)  4 Bi 2.83, 4 Si 2.83
Si (0.0000, 0.0000, 0.0000)  4 Co 2.83, 4 Si 2.83

Properties
The calculation puts the final energy at -4.81 eV per atom. The calculation puts the spin magnetization at 0.6 μB/cell.

Record 10
A plane-wave DFT calculation with PBE was carried out for crystalline UFe4Sb12 at its relaxed geometry.

a = 7.8935 Å, b = 7.8935 Å, c = 7.8935 Å
α = 109.47°, β = 109.47°, γ = 109.47°
Last column: nearest neighbours and their distance in Å.
Positions (direct):
Sb (0.6685, 0.5060, 0.8375)  2 Fe 2.53
Sb (0.6685, 0.8310, 0.1625)  2 Fe 2.53
Sb (0.1625, 0.3315, 0.4940)  2 Fe 2.53
Sb (0.8310, 0.1625, 0.6685)  2 Fe 2.53
Fe (0.0000, 0.5000, 0.0000)  6 Sb 2.53
Sb (0.8375, 0.3315, 0.1690)  2 Fe 2.53
Sb (0.3315, 0.4940, 0.1625)  2 Fe 2.53
Fe (0.5000, 0.5000, 0.5000)  6 Sb 2.53
Sb (0.8375, 0.6685, 0.5060)  2 Fe 2.53
Fe (0.0000, 0.0000, 0.5000)  6 Sb 2.53
Sb (0.5060, 0.8375, 0.6685)  2 Fe 2.53
Sb (0.4940, 0.1625, 0.3315)  2 Fe 2.53
U (0.0000, 0.0000, 0.0000)  12 Sb 3.36
Sb (0.1690, 0.8375, 0.3315)  2 Fe 2.53
Sb (0.1625, 0.6685, 0.8310)  2 Fe 2.53
Sb (0.3315, 0.1690, 0.8375)  2 Fe 2.53
Fe (0.5000, 0.0000, 0.0000)  6 Sb 2.53

Properties
The calculation puts the final energy at -5.60 eV per atom. The calculation puts the spin magnetization at 0.0 μB/cell.

Record 11
A plane-wave DFT calculation with PBE was carried out for crystalline PmPOsO at its relaxed geometry.

a = 4.3075 Å, b = 4.3075 Å, c = 6.7608 Å
α = 90.00°, β = 90.00°, γ = 90.00°
Last column: nearest neighbours and their distance in Å.
Positions (direct):
Pm (0.5000, 0.5000, 0.5000)  4 P 2.90, 4 Pm 3.05
Os (0.0000, 0.5000, 0.1282)  1 P 2.30, 4 O 2.32
Os (0.5000, 0.0000, 0.8718)  1 P 2.30, 4 O 2.32
Pm (0.0000, 0.0000, 0.5000)  4 P 2.90, 4 Pm 3.05
O (0.0000, 0.0000, 0.0000)  4 Os 2.32, 4 P 2.59
O (0.5000, 0.5000, 0.0000)  4 Os 2.32, 4 P 2.59
P (0.5000, 0.0000, 0.2125)  1 Os 2.30
P (0.0000, 0.5000, 0.7875)  1 Os 2.30

Properties
The energy above the most stable polymorph in this dataset comes out at 2018 meV/atom. The calculation puts the final energy at -6.42 eV per atom. The calculation puts the spin magnetization at 0.0 μB/cell.

Record 12
A plane-wave DFT calculation with PBE was carried out for crystalline BiPt at its relaxed geometry.

a = 4.3837 Å, b = 4.3837 Å, c = 4.3837 Å
α = 60.00°, β = 60.00°, γ = 60.00°
Last column: nearest neighbours and their distance in Å.
Positions (direct):
Pt (0.2500, 0.2500, 0.2500)  4 Bi 2.68
Bi (0.0000, 0.0000, 0.0000)  4 Pt 2.68

Properties
The calculation puts the final energy at -4.94 eV per atom. The calculation puts the spin magnetization at 0.0 μB/cell.